Record 1
# meta-GGA SCAN LaY2Al, single point on PBEsol structure
data_LaY2Al
_chemical_formula_sum 'La2 Y4 Al2'
_space_group_name_H-M_alt 'I -4 m 2'
_space_group_IT_number 119
_space_group_name_Hall 'I -4 -2'
_cell_length_a 4.700
_cell_length_b 4.700
_cell_length_c 9.746
_cell_angle_alpha 90.00
_cell_angle_beta 90.00
_cell_angle_gamma 90.00
loop_
_atom_site_label
_atom_site_fract_x
_atom_site_fract_y
_atom_site_fract_z
_atom_site_occupancy
La1 0.000 0.000 0.000 1
Y1 0.000 0.000 0.500 1
Y2 0.000 0.500 0.250 1
Al1 0.000 0.500 0.750 1
# magnetic moment: 0.02 μB per atom
# energy: -26.79 eV per atom

Record 2
# meta-GGA SCAN LaYAl2, single point on PBEsol structure
data_LaYAl2
_chemical_formula_sum 'La2 Y2 Al4'
_space_group_name_H-M_alt 'I m m 2'
_space_group_IT_number 44
_cell_length_a 3.942
_cell_length_b 4.857
_cell_length_c 10.233
_cell_angle_alpha 90.00
_cell_angle_beta 90.00
_cell_angle_gamma 90.00
loop_
_space_group_symop_operation_xyz
'x,y,z'
'-x,-y,z'
'-x,y,z'
'x,-y,z'
'x+1/2,y+1/2,z+1/2'
'-x+1/2,-y+1/2,z+1/2'
'-x+1/2,y+1/2,z+1/2'
'x+1/2,-y+1/2,z+1/2'
loop_
_atom_site_label
_atom_site_fract_x
_atom_site_fract_y
_atom_site_fract_z
_atom_site_occupancy
La1 0.000 0.000 0.000 1
Y1 0.000 0.500 0.774 1
Al1 0.000 0.000 0.555 1
Al2 0.000 0.500 0.229 1
# magnetic moment: 0.00 μB per atom
# energy: -22.00 eV per atom

Record 3
# meta-GGA SCAN LaAlZn2, single point on PBEsol structure
data_LaAlZn2
_chemical_formula_sum 'La3 Al3 Zn6'
_space_group_name_H-M_alt 'R -3 m'
_space_group_IT_number 166
_space_group_name_Hall '-R 3 2"'
_cell_length_a 3.0408
_cell_length_b 3.0408
_cell_length_c 29.2085
_cell_angle_alpha 90.00
_cell_angle_beta 90.00
_cell_angle_gamma 120.00
loop_
_atom_site_label
_atom_site_fract_x
_atom_site_fract_y
_atom_site_fract_z
_atom_site_occupancy
La1 0.0000 0.0000 0.0000 1
Al1 0.0000 0.0000 0.5000 1
Zn1 0.0000 0.0000 0.2396 1
# magnetic moment: 0.00 μB per atom
# energy: -19.35 eV per atom

Record 4
# meta-GGA SCAN LaAlZn2, single point on PBEsol structure
data_LaAlZn2
_chemical_formula_sum 'La1 Al1 Zn2'
_space_group_name_H-M_alt 'P 4 m m'
_space_group_IT_number 99
_cell_length_a 3.328
_cell_length_b 3.328
_cell_length_c 7.119
_cell_angle_alpha 90.00
_cell_angle_beta 90.00
_cell_angle_gamma 90.00
loop_
_space_group_symop_operation_xyz
'x,y,z'
'-y,x,z'
'-x,-y,z'
'y,-x,z'
'-x,y,z'
'y,x,z'
'x,-y,z'
'-y,-x,z'
loop_
_atom_site_label
_atom_site_fract_x
_atom_site_fract_y
_atom_site_fract_z
_atom_site_occupancy
La1 0.000 0.000 0.000 1
Al1 0.500 0.500 0.686 1
Zn1 0.000 0.000 0.487 1
Zn2 0.500 0.500 0.304 1
# magnetic moment: 0.00 μB per atom
# energy: -19.67 eV per atom